Version w
# ScFeSbPd

A relaxed ScFeSbPd crystal (GGA-PBE, OQMD).

Unit cell a=6.448 b=6.448 c=6.448 alpha=90.00 beta=90.00 gamma=90.00
Space group F-43m (No. 216)
Symmetry-distinct sites (fractional):
1 Sc 0.000 0.000 0.000 (multiplicity 4)
2 Fe 0.250 0.250 0.750 (multiplicity 4)
3 Sb 0.000 0.000 0.500 (multiplicity 4)
4 Pd 0.250 0.250 0.250 (multiplicity 4)

Output
M_tot: 6.90 Bohr magnetons per cell
Crystal system: cubic

Version x
# ScFeSbPd

A relaxed ScFeSbPd crystal (GGA-PBE, OQMD).

Unit cell a=6.559 b=6.559 c=6.559 alpha=90.00 beta=90.00 gamma=90.00
Space group F-43m (No. 216)
Symmetry-distinct sites (fractional):
1 Sc 0.000 0.000 0.000 (multiplicity 4)
2 Fe 0.000 0.000 0.500 (multiplicity 4)
3 Sb 0.250 0.250 0.250 (multiplicity 4)
4 Pd 0.250 0.250 0.750 (multiplicity 4)

Output
M_tot: 10.36 Bohr magnetons per cell
Crystal system: cubic

version w wins, 0.118 eV/atom ahead of the next structure.